A relaxed Rb2FeRuI6 crystal. Source: the Alexandria database, functional GGA-PBE.

Cell lengths 7.958, 7.958, 7.958 Å; angles 119.76, 119.76, 90.42 degrees
Atoms (fractional coordinates):
Rb 0.250 0.750 0.500
Rb 0.750 0.250 0.500
Fe 0.000 0.000 0.000
Ru 0.500 0.500 0.000
I 0.253 0.253 0.000
I 0.255 0.255 0.509
I 0.255 0.745 0.000
I 0.745 0.255 0.000
I 0.745 0.745 0.491
I 0.747 0.747 0.000

Values from the calculation:
Crystal system   tetragonal
Energy relative to the elements, uncorrected   -444 meV/atom